Record 1
An optimized crystal structure of Y2Th2Sc. Source: Alexandria via LeMat-Bulk, functional GGA-PBE.

a b c (Å): 7.9125 7.9125 5.9738
angles (deg): 102.36 102.36 110.78
Closest atoms and distances in Å follow each position.
Atoms (fractional coordinates):
Y  0.1141  0.2559  0.3506  1 Y 3.08, 2 Sc 3.11-3.39, 2 Th 3.34-3.43
Y  0.2559  0.1141  0.8506  1 Y 3.08, 2 Sc 3.11-3.39, 2 Th 3.34-3.43
Y  0.7441  0.8859  0.1494  1 Y 3.08, 2 Sc 3.11-3.39, 2 Th 3.34-3.43
Y  0.8859  0.7441  0.6494  1 Y 3.08, 2 Sc 3.11-3.39, 2 Th 3.34-3.43
Th  0.1891  0.8109  0.2500  1 Sc 3.28, 2 Th 3.36, 2 Y 3.68
Th  0.3064  0.6936  0.7500  3 Sc 3.29-3.46, 4 Y 3.34-3.43, 2 Th 3.36
Th  0.6936  0.3064  0.2500  3 Sc 3.29-3.46, 4 Y 3.34-3.43, 2 Th 3.36
Th  0.8109  0.1891  0.7500  1 Sc 3.28, 2 Th 3.36, 2 Y 3.68
Sc  0.4411  0.5589  0.2500  4 Y 3.11-3.39, 4 Th 3.28-3.46, 2 Sc 3.36
Sc  0.5589  0.4411  0.7500  4 Y 3.11-3.39, 4 Th 3.28-3.46, 2 Sc 3.36

Output
space group	C2/c, No. 15
calculated formation energy	0.31	eV/atom

=====

Record 2
An optimized crystal structure of Nd4Y9Er11. Source: Alexandria via LeMat-Bulk, functional GGA-PBE.

a b c (Å): 15.0573 15.0573 3.6907
angles (deg): 90.00 90.00 112.67
Closest atoms and distances in Å follow each position.
Atoms (fractional coordinates):
Nd  0.0535  0.2543  0.0000  6 Er 3.27-3.39, 3 Y 3.51-3.60
Nd  0.2543  0.0535  0.0000  6 Er 3.27-3.39, 3 Y 3.51-3.60
Nd  0.7457  0.9465  0.0000  6 Er 3.27-3.39, 3 Y 3.51-3.60
Nd  0.9465  0.7457  0.0000  6 Er 3.27-3.39, 3 Y 3.51-3.60
Y  0.0000  0.0000  0.0000  4 Nd 3.60, 2 Y 3.69, 8 Er 3.87-4.00
Y  0.1339  0.6616  0.0000  3 Y 3.42-3.69, 8 Er 3.46-3.67, 1 Nd 3.51
Y  0.2876  0.4338  0.0000  8 Er 3.49-3.66, 1 Nd 3.52, 3 Y 3.67-3.69
Y  0.3384  0.8661  0.0000  3 Y 3.42-3.69, 8 Er 3.46-3.67, 1 Nd 3.51
Y  0.4338  0.2876  0.0000  8 Er 3.49-3.66, 1 Nd 3.52, 3 Y 3.67-3.69
Y  0.5662  0.7124  0.0000  8 Er 3.49-3.66, 1 Nd 3.52, 3 Y 3.67-3.69
Y  0.6616  0.1339  0.0000  3 Y 3.42-3.69, 8 Er 3.46-3.67, 1 Nd 3.51
Y  0.7124  0.5662  0.0000  8 Er 3.49-3.66, 1 Nd 3.52, 3 Y 3.67-3.69
Y  0.8661  0.3384  0.0000  3 Y 3.42-3.69, 8 Er 3.46-3.67, 1 Nd 3.51
Er  0.0925  0.4549  0.5000  2 Nd 3.39, 6 Y 3.46-3.67, 3 Er 3.54-3.69
Er  0.1356  0.8644  0.5000  4 Nd 3.28, 4 Y 3.56
Er  0.2123  0.2123  0.5000  4 Nd 3.27, 4 Y 3.59
Er  0.3412  0.6588  0.5000  8 Y 3.64-3.66, 5 Er 3.69-3.98
Er  0.4549  0.0925  0.5000  2 Nd 3.39, 6 Y 3.46-3.67, 3 Er 3.54-3.69
Er  0.5000  0.5000  0.5000  8 Y 3.49, 2 Er 3.69
Er  0.5451  0.9075  0.5000  2 Nd 3.39, 6 Y 3.46-3.67, 3 Er 3.54-3.69
Er  0.6588  0.3412  0.5000  8 Y 3.64-3.66, 5 Er 3.69-3.98
Er  0.7877  0.7877  0.5000  4 Nd 3.27, 4 Y 3.59
Er  0.8644  0.1356  0.5000  4 Nd 3.28, 4 Y 3.56
Er  0.9075  0.5451  0.5000  2 Nd 3.39, 6 Y 3.46-3.67, 3 Er 3.54-3.69

Output
space group	Cmmm, No. 65
calculated formation energy	0.05	eV/atom

=====

Record 3
An optimized crystal structure of Tb2SmNi6. Source: Alexandria via LeMat-Bulk, functional GGA-PBE.

a b c (Å): 6.9711 6.9711 3.7577
angles (deg): 90.00 90.00 120.00
Closest atoms and distances in Å follow each position.
Atoms (fractional coordinates):
Tb  0.3333  0.6667  0.0000  12 Ni 2.99
Tb  0.6667  0.3333  0.0000  12 Ni 2.99
Sm  0.0000  0.0000  0.0000  12 Ni 2.99
Ni  0.0000  0.3344  0.5000  3 Ni 2.31-2.33
Ni  0.0000  0.6656  0.5000  3 Ni 2.31-2.33
Ni  0.3344  0.0000  0.5000  3 Ni 2.31-2.33
Ni  0.3344  0.3344  0.5000  3 Ni 2.31-2.33
Ni  0.6656  0.0000  0.5000  3 Ni 2.31-2.33
Ni  0.6656  0.6656  0.5000  3 Ni 2.31-2.33

Output
space group	P6/mmm, No. 191
calculated formation energy	-0.37	eV/atom

=====

Record 4
An optimized crystal structure of YHfS2. Source: Alexandria via LeMat-Bulk, functional GGA-PBE.

a b c (Å): 6.9578 6.9578 6.9578
angles (deg): 30.58 30.58 30.58
Closest atoms and distances in Å follow each position.
Atoms (fractional coordinates):
Y  0.0000  0.0000  0.0000  6 S 2.72-2.84
Hf  0.1750  0.1750  0.1750  6 S 2.57-2.65
S  0.5811  0.5811  0.5811  3 Hf 2.57, 3 Y 2.72
S  0.7619  0.7619  0.7619  3 Hf 2.65, 3 Y 2.84

Output
space group	R3m, No. 160
E_form (uncorrected)	-1.5494	eV per atom

=====

Record 5
An optimized crystal structure of CsCaB2P. Source: Alexandria via LeMat-Bulk, functional GGA-PBE.

a b c (Å): 4.3319 4.3319 5.2748
angles (deg): 90.00 90.00 90.00
Closest atoms and distances in Å follow each position.
Atoms (fractional coordinates):
Cs  0.0000  0.0000  0.0000  4 Ca 3.06, 8 B 3.41
Ca  0.5000  0.5000  0.0000  2 P 2.64
B  0.0000  0.5000  0.5000  2 P 2.17
B  0.5000  0.0000  0.5000  2 P 2.17
P  0.5000  0.5000  0.5000  4 B 2.17

Output
space group	P4/mmm, No. 123
calculated formation energy	1.17	eV/atom

=====

Record 6
An optimized crystal structure of TlTeS3. Source: Alexandria via LeMat-Bulk, functional GGA-PBE.

a b c (Å): 9.0556 9.0556 6.8310
angles (deg): 90.89 90.89 84.88
Closest atoms and distances in Å follow each position.
Atoms (fractional coordinates):
Tl  0.1029  0.2972  0.2542  4 S 2.76-2.83
Tl  0.2972  0.1029  0.7542  4 S 2.76-2.83
Tl  0.7028  0.8971  0.2458  4 S 2.76-2.83
Tl  0.8971  0.7028  0.7458  4 S 2.76-2.83
Te  0.2380  0.7620  0.2500  4 S 2.46-2.70
Te  0.4164  0.5836  0.7500  6 S 2.59-2.78
Te  0.5836  0.4164  0.2500  6 S 2.59-2.78
Te  0.7620  0.2380  0.7500  4 S 2.46-2.70
S  0.0203  0.2410  0.8651  1 Te 2.46
S  0.1621  0.6138  0.5680  2 Te 2.59-2.70, 1 Tl 2.76
S  0.2410  0.0203  0.3651  1 Te 2.46
S  0.3085  0.4612  0.0627  2 Te 2.66-2.78, 1 Tl 2.83
S  0.3862  0.8379  0.9320  2 Te 2.59-2.70, 1 Tl 2.76
S  0.4612  0.3085  0.5627  2 Te 2.66-2.78, 1 Tl 2.83
S  0.5388  0.6915  0.4373  2 Te 2.66-2.78, 1 Tl 2.83
S  0.6138  0.1621  0.0680  2 Te 2.59-2.70, 1 Tl 2.76
S  0.6915  0.5388  0.9373  2 Te 2.66-2.78, 1 Tl 2.83
S  0.7590  0.9797  0.6349  1 Te 2.46
S  0.8379  0.3862  0.4320  2 Te 2.59-2.70, 1 Tl 2.76
S  0.9797  0.7590  0.1349  1 Te 2.46

Output
space group	C2/c, No. 15
E_form (uncorrected)	0.0639	eV per atom